No. 1
Material: YMg2TlCl8
Method: DFT, PBE
State: relaxed

a b c (Å): 6.4842 6.4918 8.9417
angles (deg): 79.16 78.73 78.75
Closest atoms and distances in Å follow each position.
Space group P-1 (No. 2)
One atom of each set of equivalent atoms:
1 Y 0.0000 0.0000 0.0000 [1 per cell]  6 Cl 2.63-2.68
2 Mg 0.4508 0.4550 0.7130 [2 per cell]  5 Cl 2.40-2.55
3 Tl 0.0000 0.0000 0.5000 [1 per cell]  6 Cl 3.16-3.37
4 Cl 0.2100 0.7584 0.2180 [2 per cell]  1 Mg 2.48, 1 Y 2.68
5 Cl 0.2578 0.8044 0.7772 [2 per cell]  1 Mg 2.48, 1 Y 2.68
6 Cl 0.2589 0.2788 0.9533 [2 per cell]  1 Mg 2.46, 1 Y 2.63
7 Cl 0.3237 0.3427 0.5111 [2 per cell]  2 Mg 2.40-2.55

Summary:
The total energy comes out at -4.039 eV per atom. As for the uncorrected formation energy: -1.806 eV/atom. For the total moment, the calculation gives 0.000 μB/f.u. The density of states at the Fermi level is 0.000 states/eV per atom.

No. 2
Material: Tb5Sm3Tm4
Method: DFT, PBE
State: relaxed

a b c (Å): 15.9855 5.8739 9.2266
angles (deg): 90.00 116.21 90.00
Closest atoms and distances in Å follow each position.
Space group C2/m (No. 12)
One atom of each set of equivalent atoms:
1 Tb 0.0000 0.0000 0.0000 [2 per cell]  4 Sm 2.94-3.05
2 Tb 0.0749 0.5000 0.6981 [4 per cell]  2 Sm 3.23-3.48, 1 Tb 3.37, 2 Tm 3.59
3 Tb 0.1733 0.5000 0.3880 [4 per cell]  4 Sm 3.19-3.44, 3 Tm 3.42-3.53
4 Sm 0.0000 0.5000 0.0000 [2 per cell]  2 Tb 2.94
5 Sm 0.2077 0.0000 0.2283 [4 per cell]  3 Tb 3.05-3.23, 2 Tm 3.27-3.38
6 Tm 0.0810 0.0000 0.4407 [4 per cell]  1 Tm 3.23, 1 Sm 3.38, 3 Tb 3.42-3.53
7 Tm 0.2107 0.0000 0.8762 [4 per cell]  3 Sm 3.27-3.52, 3 Tm 3.59-3.62, 3 Tb 3.59-3.66

Summary:
As for the polymorph energy (0 for the lowest one): 0.2230 eV/atom. The total energy comes out at -4.358 eV per atom. The value obtained for the energy of formation is 0.24 eV per atom. For the total moment, the calculation gives 0.240 μB/f.u. The density of states at the Fermi level is 1.612 states/eV per atom.

No. 3
Material: Na2AcHg2Bi2
Method: DFT, PBE
State: relaxed

a b c (Å): 5.1827 5.1827 27.3157
angles (deg): 90.00 90.00 120.00
Closest atoms and distances in Å follow each position.
Space group R-3m (No. 166, hexagonal axes)
One atom of each set of equivalent atoms:
1 Na 0.0000 0.0000 0.1418 [6 per cell]  3 Hg 3.11, 3 Na 3.29, 1 Bi 3.32
2 Ac 0.0000 0.0000 0.0000 [3 per cell]  6 Bi 3.55, 2 Na 3.87
3 Hg 0.0000 0.0000 0.4442 [6 per cell]  1 Hg 3.05, 3 Na 3.11, 3 Bi 3.19
4 Bi 0.0000 0.0000 0.2633 [6 per cell]  3 Hg 3.19, 1 Na 3.32, 3 Ac 3.55

Summary:
The total energy comes out at -2.541 eV per atom. The value obtained for the energy of formation is -0.38 eV per atom. For the total moment, the calculation gives 0.000 μB/f.u. The density of states at the Fermi level is 0.388 states/eV per atom.

No. 4
Material: Zr2GeTeAs
Method: DFT, PBE
State: relaxed

a b c (Å): 5.2156 5.2156 4.6136
angles (deg): 90.00 90.00 90.00
Closest atoms and distances in Å follow each position.
Space group P4/mmm (No. 123)
One atom of each set of equivalent atoms:
1 Zr 0.0000 0.5000 0.0000 [2 per cell]  2 Ge 2.61
2 Ge 0.0000 0.0000 0.0000 [1 per cell]  2 As 2.31
3 Te 0.5000 0.5000 0.5000 [1 per cell]  8 Zr 3.48, 4 As 3.69
4 As 0.0000 0.0000 0.5000 [1 per cell]  2 Ge 2.31

Summary:
The total energy comes out at -5.711 eV per atom. As for the uncorrected formation energy: 0.190 eV/atom. For the total moment, the calculation gives 0.000 μB/f.u. The density of states at the Fermi level is 0.762 states/eV per atom.